The following is a PBE-GGA calculation of a relaxed Co2WBr crystal, from Alexandria.

Results
- excess energy over the best structure of this formula in the dataset (meV/atom) = 691
- V (Å³ per cell) = 56.9
- E_form (uncorrected) (meV per atom) = 1129

Cell lengths 4.3176, 4.3176, 4.3176 Å; angles 60.00, 60.00, 60.00 degrees
Fractional coordinates of all 4 atoms:
Co: 0.7500 0.7500 0.7500
Co: 0.2500 0.2500 0.2500
W: 0.5000 0.5000 0.5000
Br: 0.0000 0.0000 0.0000

The following is a PBE-GGA calculation of a relaxed CoW2Br crystal, from Alexandria.

Results
- excess energy over the best structure of this formula in the dataset (meV/atom) = 137
- V (Å³ per cell) = 65.2
- E_form (uncorrected) (meV per atom) = 663

Cell lengths 3.1466, 3.1466, 6.5851 Å; angles 90.00, 90.00, 90.00 degrees
Fractional coordinates of all 4 atoms:
W: 0.5000 0.5000 0.2124
W: 0.0000 0.0000 0.9785
Co: 0.5000 0.5000 0.7900
Br: 0.0000 0.0000 0.5191

The following is a PBE-GGA calculation of a relaxed CoW2Br crystal, from Alexandria.

Results
- excess energy over the best structure of this formula in the dataset (meV/atom) = 364
- V (Å³ per cell) = 60.5
- E_form (uncorrected) (meV per atom) = 890

Cell lengths 4.8651, 4.8651, 4.7433 Å; angles 72.09, 72.09, 34.72 degrees
Fractional coordinates of all 4 atoms:
W: 0.9783 0.9783 0.0721
W: 0.7591 0.7591 0.7305
Br: 0.5157 0.5157 0.5031
Co: 0.2469 0.2469 0.1944

The following is a PBE-GGA calculation of a relaxed Co2W2Br crystal, from Alexandria.

Results
- V (Å³ per cell) = 85.5
- E_form (uncorrected) (meV per atom) = 842

Cell lengths 6.8399, 6.8399, 6.8399 Å; angles 148.82, 148.82, 44.68 degrees
Fractional coordinates of all 5 atoms:
Co: 0.6084 0.6084 0.0000
Co: 0.3916 0.3916 0.0000
W: 0.7500 0.2500 0.5000
W: 0.2500 0.7500 0.5000
Br: 0.0000 0.0000 0.0000

The following is a PBE-GGA calculation of a relaxed CoW2Br crystal, from Alexandria.

Results
- excess energy over the best structure of this formula in the dataset (meV/atom) = 706
- V (Å³ per cell) = 63.1
- E_form (uncorrected) (meV per atom) = 1232

Cell lengths 5.1898, 5.1898, 5.1898 Å; angles 137.48, 137.48, 61.69 degrees
Fractional coordinates of all 4 atoms:
Br: 0.2500 0.7500 0.5000
Co: 0.7500 0.2500 0.5000
W: 0.5000 0.5000 0.0000
W: 0.0000 0.0000 0.0000

The following is a PBE-GGA calculation of a relaxed Co2WBr crystal, from Alexandria.

Results
- excess energy over the best structure of this formula in the dataset (meV/atom) = 181
- V (Å³ per cell) = 66.0
- E_form (uncorrected) (meV per atom) = 620

Cell lengths 3.0517, 3.0517, 7.0874 Å; angles 90.00, 90.00, 90.00 degrees
Fractional coordinates of all 4 atoms:
Co: 0.5000 0.5000 0.2396
Co: 0.0000 0.0000 0.1030
Br: 0.5000 0.5000 0.7105
W: 0.0000 0.0000 0.4469

The following is a PBE-GGA calculation of a relaxed Co2WBr crystal, from Alexandria.

Results
- excess energy over the best structure of this formula in the dataset (meV/atom) = 269
- V (Å³ per cell) = 60.9
- E_form (uncorrected) (meV per atom) = 708

Cell lengths 8.3589, 8.3589, 8.3589 Å; angles 20.19, 20.19, 20.19 degrees
Fractional coordinates of all 4 atoms:
Co: 0.2533 0.2533 0.2533
Co: 0.9904 0.9904 0.9904
W: 0.5039 0.5039 0.5039
Br: 0.7524 0.7524 0.7524

The following is a PBE-GGA calculation of a relaxed CoW2Br crystal, from Alexandria.

Results
- excess energy over the best structure of this formula in the dataset (meV/atom) = 453
- V (Å³ per cell) = 58.9
- E_form (uncorrected) (meV per atom) = 979

Cell lengths 4.5551, 4.5551, 2.8406 Å; angles 90.00, 90.00, 90.00 degrees
Fractional coordinates of all 4 atoms:
Br: 0.5000 0.0000 0.5000
W: 0.5000 0.5000 0.0000
W: 0.0000 0.0000 0.0000
Co: 0.0000 0.5000 0.5000

The following is a PBE-GGA calculation of a relaxed CoW2Br crystal, from Alexandria.

Results
- excess energy over the best structure of this formula in the dataset (meV/atom) = 675
- V (Å³ per cell) = 63.6
- E_form (uncorrected) (meV per atom) = 1201

Cell lengths 4.4812, 4.4812, 4.4812 Å; angles 60.00, 60.00, 60.00 degrees
Fractional coordinates of all 4 atoms:
Br: 0.5000 0.5000 0.5000
Co: 0.7500 0.7500 0.7500
W: 0.2500 0.2500 0.2500
W: 0.0000 0.0000 0.0000

The following is a PBE-GGA calculation of a relaxed Co2WBr crystal, from Alexandria.

Results
- excess energy over the best structure of this formula in the dataset (meV/atom) = 535
- V (Å³ per cell) = 56.1
- E_form (uncorrected) (meV per atom) = 974

Cell lengths 2.8855, 4.5522, 4.2716 Å; angles 90.00, 90.00, 90.00 degrees
Fractional coordinates of all 4 atoms:
Br: 0.0000 0.5000 0.5000
Co: 0.5000 0.5000 0.0000
Co: 0.0000 0.0000 0.0000
W: 0.5000 0.0000 0.5000

The following is a PBE-GGA calculation of a relaxed Co2WBr crystal, from Alexandria.

Results
- excess energy over the best structure of this formula in the dataset (meV/atom) = 461
- V (Å³ per cell) = 55.2
- E_form (uncorrected) (meV per atom) = 899

Cell lengths 5.0269, 5.0269, 5.0269 Å; angles 146.74, 126.78, 64.22 degrees
Fractional coordinates of all 4 atoms:
Co: 0.0102 0.0102 0.0000
Co: 0.4898 0.4898 0.0000
W: 0.7500 0.2500 0.5000
Br: 0.2500 0.7500 0.5000

The following is a PBE-GGA calculation of a relaxed Co2WBr crystal, from Alexandria.

Results
- excess energy over the best structure of this formula in the dataset (meV/atom) = 172
- V (Å³ per cell) = 77.1
- E_form (uncorrected) (meV per atom) = 610

Cell lengths 4.1411, 4.1411, 6.3801 Å; angles 85.77, 85.77, 44.96 degrees
Fractional coordinates of all 4 atoms:
Br: 0.0832 0.0832 0.2712
W: 0.5134 0.5134 0.6070
Co: 0.0967 0.0967 0.8823
Co: 0.8067 0.8067 0.7396

The following is a PBE-GGA calculation of a relaxed CoW2Br crystal, from Alexandria.

Results
- excess energy over the best structure of this formula in the dataset (meV/atom) = 255
- V (Å³ per cell) = 62.3
- E_form (uncorrected) (meV per atom) = 781

Cell lengths 8.7464, 8.7464, 8.7464 Å; angles 19.04, 19.04, 19.04 degrees
Fractional coordinates of all 4 atoms:
W: 0.4957 0.4957 0.4957
W: 0.0043 0.0043 0.0043
Br: 0.2500 0.2500 0.2500
Co: 0.7500 0.7500 0.7500

The following is a PBE-GGA calculation of a relaxed Co2WBr crystal, from Alexandria.

Results
- excess energy over the best structure of this formula in the dataset (meV/atom) = 127
- V (Å³ per cell) = 61.4
- E_form (uncorrected) (meV per atom) = 565

Cell lengths 8.0205, 8.0205, 8.0205 Å; angles 21.61, 21.61, 21.61 degrees
Fractional coordinates of all 4 atoms:
Br: 0.7500 0.7500 0.7500
W: 0.2500 0.2500 0.2500
Co: 0.5053 0.5053 0.5053
Co: 0.9947 0.9947 0.9947

The following is a PBE-GGA calculation of a relaxed Co2WBr2 crystal, from Alexandria.

Results
- V (Å³ per cell) = 88.8
- E_form (uncorrected) (meV per atom) = 1460

Cell lengths 6.0856, 6.0856, 6.0856 Å; angles 140.94, 140.94, 56.43 degrees
Fractional coordinates of all 5 atoms:
Br: 0.7500 0.2500 0.5000
Br: 0.2500 0.7500 0.5000
Co: 0.6010 0.6010 0.0000
Co: 0.3990 0.3990 0.0000
W: 0.0000 0.0000 0.0000

The following is a PBE-GGA calculation of a relaxed CoW2Br crystal, from Alexandria.

Results
- excess energy over the best structure of this formula in the dataset (meV/atom) = 437
- V (Å³ per cell) = 64.5
- E_form (uncorrected) (meV per atom) = 963

Cell lengths 2.8105, 2.8105, 9.0282 Å; angles 90.00, 90.00, 115.22 degrees
Fractional coordinates of all 4 atoms:
W: 0.0000 0.0000 0.9724
W: 0.0000 0.0000 0.5276
Br: 0.5000 0.5000 0.2500
Co: 0.5000 0.5000 0.7500

The following is a PBE-GGA calculation of a relaxed CoW2Br crystal, from Alexandria.

Results
- excess energy over the best structure of this formula in the dataset (meV/atom) = 747
- V (Å³ per cell) = 63.3
- E_form (uncorrected) (meV per atom) = 1273

Cell lengths 4.5719, 3.7220, 3.7220 Å; angles 90.00, 90.00, 90.00 degrees
Fractional coordinates of all 4 atoms:
W: 0.0000 0.0000 0.0000
W: 0.0000 0.5000 0.5000
Co: 0.5000 0.0000 0.5000
Br: 0.5000 0.5000 0.0000

The following is a PBE-GGA calculation of a relaxed CoW2Br crystal, from Alexandria.

Results
- excess energy over the best structure of this formula in the dataset (meV/atom) = 120
- V (Å³ per cell) = 64.3
- E_form (uncorrected) (meV per atom) = 646

Cell lengths 8.6836, 8.6836, 8.6836 Å; angles 19.58, 19.58, 19.58 degrees
Fractional coordinates of all 4 atoms:
W: 0.0060 0.0060 0.0060
W: 0.2486 0.2486 0.2486
Co: 0.7446 0.7446 0.7446
Br: 0.5007 0.5007 0.5007

The following is a PBE-GGA calculation of a relaxed CoW3Br crystal, from Alexandria.

Results
- excess energy over the best structure of this formula in the dataset (meV/atom) = 585
- V (Å³ per cell) = 94.8
- E_form (uncorrected) (meV per atom) = 2423

Cell lengths 4.5594, 4.5594, 4.5594 Å; angles 90.00, 90.00, 90.00 degrees
Fractional coordinates of all 5 atoms:
W: 0.5000 0.0000 0.0000
W: 0.0000 0.0000 0.5000
W: 0.0000 0.5000 0.0000
Br: 0.0000 0.0000 0.0000
Co: 0.5000 0.5000 0.5000

The following is a PBE-GGA calculation of a relaxed Co4W2Br crystal, from Alexandria.

Results
- V (Å³ per cell) = 109.0
- E_form (uncorrected) (meV per atom) = 1513

Cell lengths 4.1086, 4.1086, 7.0824 Å; angles 73.14, 73.14, 90.00 degrees
Fractional coordinates of all 7 atoms:
W: 0.6552 0.6552 0.6895
W: 0.3448 0.3448 0.3105
Co: 0.0000 0.5000 0.0000
Co: 0.8226 0.8226 0.3549
Co: 0.1774 0.1774 0.6451
Co: 0.5000 0.0000 0.0000
Br: 0.0000 0.0000 0.0000

The following is a PBE-GGA calculation of a relaxed Co2WBr crystal, from Alexandria.

Results
- excess energy over the best structure of this formula in the dataset (meV/atom) = 603
- V (Å³ per cell) = 55.5
- E_form (uncorrected) (meV per atom) = 1041

Cell lengths 4.6810, 4.6810, 4.6810 Å; angles 132.03, 132.03, 70.18 degrees
Fractional coordinates of all 4 atoms:
Br: 0.7500 0.2500 0.5000
W: 0.5000 0.5000 0.0000
Co: 0.2500 0.7500 0.5000
Co: 0.0000 0.0000 0.0000

The following is a PBE-GGA calculation of a relaxed CoW2Br crystal, from Alexandria.

Results
- excess energy over the best structure of this formula in the dataset (meV/atom) = 176
- V (Å³ per cell) = 65.7
- E_form (uncorrected) (meV per atom) = 702

Cell lengths 2.8898, 2.8898, 8.5026 Å; angles 90.00, 90.00, 112.34 degrees
Fractional coordinates of all 4 atoms:
Br: 0.0000 0.0000 0.5132
W: 0.0000 0.0000 0.9860
W: 0.5000 0.5000 0.2331
Co: 0.5000 0.5000 0.7677

The following is a PBE-GGA calculation of a relaxed Co4WBr crystal, from Alexandria.

Results
- V (Å³ per cell) = 77.9
- E_form (uncorrected) (meV per atom) = 744

Cell lengths 4.7937, 4.7937, 4.7937 Å; angles 60.00, 60.00, 60.00 degrees
Fractional coordinates of all 6 atoms:
Co: 0.6241 0.6241 0.6241
Co: 0.6241 0.6241 0.1278
Co: 0.1278 0.6241 0.6241
Co: 0.6241 0.1278 0.6241
Br: 0.0000 0.0000 0.0000
W: 0.2500 0.2500 0.2500

The following is a PBE-GGA calculation of a relaxed CoW2Br crystal, from Alexandria.

Results
- excess energy over the best structure of this formula in the dataset (meV/atom) = 979
- V (Å³ per cell) = 166.6
- E_form (uncorrected) (meV per atom) = 1505

Cell lengths 5.3934, 5.3934, 6.8811 Å; angles 66.93, 66.93, 90.00 degrees
Fractional coordinates of all 8 atoms:
Co: 0.2500 0.7500 0.5000
Co: 0.5000 0.5000 0.0000
W: 0.8750 0.8256 0.7500
W: 0.5756 0.1250 0.2500
W: 0.3750 0.4244 0.7500
W: 0.1744 0.6250 0.2500
Br: 0.7500 0.2500 0.5000
Br: 0.0000 0.0000 0.0000

The following is a PBE-GGA calculation of a relaxed CoW2Br crystal, from Alexandria.

Results
- excess energy over the best structure of this formula in the dataset (meV/atom) = 513
- V (Å³ per cell) = 59.1
- E_form (uncorrected) (meV per atom) = 1039

Cell lengths 4.3721, 4.3721, 4.3721 Å; angles 60.00, 60.00, 60.00 degrees
Fractional coordinates of all 4 atoms:
Br: 0.5000 0.5000 0.5000
Co: 0.0000 0.0000 0.0000
W: 0.2500 0.2500 0.2500
W: 0.7500 0.7500 0.7500

The following is a PBE-GGA calculation of a relaxed Y4Co2Br5 crystal, from Alexandria.

Results
- V (Å³ per cell) = 308.7
- E_form (uncorrected) (meV per atom) = -954

Cell lengths 3.9776, 8.0886, 10.5995 Å; angles 112.43, 100.82, 90.00 degrees
Fractional coordinates of all 11 atoms:
Br: 0.8295 0.0612 0.6591
Br: 0.1705 0.9388 0.3409
Br: 0.1705 0.4022 0.3409
Br: 0.8295 0.5978 0.6591
Br: 0.5000 0.0000 0.0000
Y: 0.3221 0.3221 0.6442
Y: 0.0000 0.7092 0.0000
Y: 0.6779 0.6779 0.3558
Y: 0.0000 0.2908 0.0000
Co: 0.4448 0.4448 0.8895
Co: 0.5552 0.5552 0.1105

The following is a PBE-GGA calculation of a relaxed YCoBr3 crystal, from Alexandria.

Results
- excess energy over the best structure of this formula in the dataset (meV/atom) = 113
- V (Å³ per cell) = 116.4
- E_form (uncorrected) (meV per atom) = -327

Cell lengths 4.8828, 4.8828, 4.8828 Å; angles 90.00, 90.00, 90.00 degrees
Fractional coordinates of all 5 atoms:
Y: 0.5000 0.5000 0.5000
Br: 0.0000 0.5000 0.0000
Br: 0.5000 0.0000 0.0000
Br: 0.0000 0.0000 0.5000
Co: 0.0000 0.0000 0.0000

The following is a PBE-GGA calculation of a relaxed Y2CoBr crystal, from Alexandria.

Results
- excess energy over the best structure of this formula in the dataset (meV/atom) = 448
- V (Å³ per cell) = 87.9
- E_form (uncorrected) (meV per atom) = -267

Cell lengths 5.1351, 5.1351, 3.3457 Å; angles 86.43, 86.43, 90.42 degrees
Fractional coordinates of all 4 atoms:
Co: 0.0000 0.5000 0.5000
Br: 0.5000 0.0000 0.5000
Y: 0.0000 0.0000 0.0000
Y: 0.5000 0.5000 0.0000

The following is a PBE-GGA calculation of a relaxed Y2CoBr crystal, from Alexandria.

Results
- excess energy over the best structure of this formula in the dataset (meV/atom) = 345
- V (Å³ per cell) = 90.0
- E_form (uncorrected) (meV per atom) = -370

Cell lengths 5.8069, 5.8069, 4.5772 Å; angles 87.53, 87.53, 35.72 degrees
Fractional coordinates of all 4 atoms:
Y: 0.0228 0.0228 0.1335
Y: 0.7428 0.7428 0.6117
Co: 0.2630 0.2630 0.1136
Br: 0.4713 0.4713 0.6412

The following is a PBE-GGA calculation of a relaxed Y2CoBr crystal, from Alexandria.

Results
- excess energy over the best structure of this formula in the dataset (meV/atom) = 122
- V (Å³ per cell) = 97.9
- E_form (uncorrected) (meV per atom) = -592

Cell lengths 3.3973, 3.4835, 8.2705 Å; angles 90.02, 90.00, 90.00 degrees
Fractional coordinates of all 4 atoms:
Br: 0.5000 0.2500 0.2500
Co: 0.5000 0.7500 0.7500
Y: 0.0000 0.2496 0.5537
Y: 0.0000 0.2504 0.9463